# 1
A plane-wave DFT calculation with PBE-GGA was carried out for an optimized crystal structure of KRbHSeBrCl.

Structure (extended XYZ):
```
6
Lattice="5.1935 0.0000 0.0000 2.4951 5.3443 0.0000 1.8894 -0.4838 7.7554" Properties=species:S:1:pos:R:3 pbc="T T T"
K 0.0000 0.0000 0.0000
Rb 6.3683 2.3904 4.1851
H 3.1025 2.4480 0.6145
Se 3.7361 2.2788 1.9594
Br 4.9895 4.9555 2.0186
Cl 3.7636 2.0692 6.2010
```

- Polymorph energy (0 for the lowest one): 0.164 eV/f.u.
- Space-group type: P1
- Crystal system: triclinic
- M_tot: 0.0000 μB/atom

---

# 2
A plane-wave DFT calculation with PBE-GGA was carried out for an optimized crystal structure of Sr2CdSiPt6.

Structure (extended XYZ):
```
10
Lattice="5.5969 0.0000 0.0000 2.7876 5.9538 0.0000 2.7889 0.5371 6.5880" Properties=species:S:1:pos:R:3 pbc="T T T"
Sr 2.7921 1.5026 2.0053
Sr 8.3813 4.9883 4.5827
Cd 5.5867 3.2454 3.2940
Si 0.0000 0.0000 0.0000
Pt 4.2244 1.8376 5.2113
Pt 5.5811 4.0779 5.9396
Pt 4.2310 4.6533 1.3729
Pt 6.9424 1.8376 5.2152
Pt 5.5923 2.4130 0.6484
Pt 6.9490 4.6533 1.3767
```

- Space-group type: P-1
- Crystal system: triclinic
- M_tot: 0.0000 μB/atom
- Energy relative to the elements, uncorrected: -0.649 eV per atom

---

# 3
A plane-wave DFT calculation with PBE-GGA was carried out for an optimized crystal structure of Pr4Y2TmSc.

Structure (extended XYZ):
```
8
Lattice="5.1474 0.0000 0.0000 0.0000 5.1474 0.0000 0.0000 0.0000 9.8922" Properties=species:S:1:pos:R:3 pbc="T T T"
Pr 0.0000 2.5737 2.4320
Pr 0.0000 2.5737 7.4602
Pr 2.5737 0.0000 2.4320
Pr 2.5737 0.0000 7.4602
Y 0.0000 0.0000 0.0000
Y 2.5737 2.5737 4.9461
Tm 0.0000 0.0000 4.9461
Sc 2.5737 2.5737 0.0000
```

- Space-group type: P4/mmm
- Crystal system: tetragonal
- M_tot: 0.0000 μB/atom
- ΔH_f (0 K): 30 meV per atom

---

# 4
A plane-wave DFT calculation with PBE-GGA was carried out for an optimized crystal structure of HgP2H2.

Structure (extended XYZ):
```
10
Lattice="7.5465 0.0000 0.0000 0.0000 7.5465 0.0000 0.0000 0.0000 2.7762" Properties=species:S:1:pos:R:3 pbc="T T T"
Hg 0.0000 0.0000 0.0000
Hg 3.7732 3.7732 0.0000
P 0.7576 3.0157 1.3881
P 3.0157 6.7889 1.3881
P 4.5308 0.7576 1.3881
P 6.7889 4.5308 1.3881
H 0.6409 4.4142 0.0000
H 3.1323 0.6409 0.0000
H 4.4142 6.9055 0.0000
H 6.9055 3.1323 0.0000
```

- Polymorph energy (0 for the lowest one): 0.000 eV/f.u.
- Space-group type: P4/mbm
- Crystal system: tetragonal
- M_tot: 0.0000 μB/atom

---

# 5
A plane-wave DFT calculation with PBE-GGA was carried out for an optimized crystal structure of Sr2CoTcS.

Structure (extended XYZ):
```
5
Lattice="5.7642 0.0000 0.0000 0.0000 5.7642 0.0000 0.0000 0.0000 4.2599" Properties=species:S:1:pos:R:3 pbc="T T T"
Sr 0.0000 2.8821 0.0000
Sr 2.8821 0.0000 0.0000
Co 0.0000 0.0000 2.1299
Tc 0.0000 0.0000 0.0000
S 2.8821 2.8821 2.1299
```

- Space-group type: P4/mmm
- Crystal system: tetragonal
- M_tot: 0.3194 μB/atom
- Energy relative to the elements, uncorrected: 0.340 eV per atom

---

# 6
A plane-wave DFT calculation with PBE-GGA was carried out for an optimized crystal structure of AlHgAu4.

Structure (extended XYZ):
```
6
Lattice="0.0000 3.9337 3.9337 3.9337 0.0000 3.9337 3.9337 3.9337 0.0000" Properties=species:S:1:pos:R:3 pbc="T T T"
Al 0.0000 0.0000 0.0000
Hg 1.9668 1.9668 1.9668
Au 4.9180 2.9494 2.9494
Au 2.9494 4.9180 2.9494
Au 2.9494 2.9494 4.9180
Au 4.9180 4.9180 4.9180
```

- Polymorph energy (0 for the lowest one): 1.135 eV/f.u.
- Space-group type: F-43m
- Crystal system: cubic
- M_tot: 0.0000 μB/atom
- ΔH_f (0 K): 84 meV per atom

---

# 7
A plane-wave DFT calculation with PBE-GGA was carried out for an optimized crystal structure of LiTlInAu.

Structure (extended XYZ):
```
4
Lattice="0.0000 3.5156 3.5156 3.5156 0.0000 3.5156 3.5156 3.5156 0.0000" Properties=species:S:1:pos:R:3 pbc="T T T"
Li 0.0000 0.0000 0.0000
Tl 1.7578 1.7578 1.7578
In 3.5156 3.5156 3.5156
Au 5.2734 5.2734 5.2734
```

- Space-group type: F-43m
- Crystal system: cubic
- M_tot: 0.0000 μB/atom
- ΔH_f (0 K): -185 meV per atom

---

# 8
A plane-wave DFT calculation with PBE-GGA was carried out for an optimized crystal structure of La8CoPb2.

Structure (extended XYZ):
```
11
Lattice="9.4353 -2.8486 0.0000 9.4353 2.8486 0.0000 -2.3682 0.0000 6.4627" Properties=species:S:1:pos:R:3 pbc="T T T"
La -0.4838 0.0000 1.4106
La 3.7111 0.0000 1.1225
La 5.2392 0.0000 4.2113
La 7.3089 0.0000 1.4129
La 9.1935 0.0000 5.0498
La 11.2632 0.0000 2.2513
La 12.7912 0.0000 5.3402
La 16.9861 0.0000 5.0520
Co 9.4353 0.0000 0.0000
Pb 1.6678 0.0000 4.1754
Pb 14.8346 0.0000 2.2872
```

- Space-group type: C2/m
- Crystal system: monoclinic
- M_tot: 0.0000 μB/atom
- ΔH_f (0 K): -274 meV per atom

---

# 9
A plane-wave DFT calculation with PBE-GGA was carried out for an optimized crystal structure of PaCoB2.

Structure (extended XYZ):
```
4
Lattice="1.7312 0.9995 4.6325 -1.7312 0.9995 4.6325 0.0000 -1.9990 4.6325" Properties=species:S:1:pos:R:3 pbc="T T T"
Pa 0.0000 0.0000 0.0000
Co 0.0000 0.0000 6.9487
B 0.0000 0.0000 2.7411
B 0.0000 0.0000 11.1562
```

- Polymorph energy (0 for the lowest one): 0.000 eV/f.u.
- Space-group type: R-3m
- Crystal system: trigonal
- M_tot: 0.0000 μB/atom
- ΔH_f (0 K): -381 meV per atom

---

# 10
A plane-wave DFT calculation with PBE-GGA was carried out for an optimized crystal structure of ScTlO3.

Structure (extended XYZ):
```
20
Lattice="0.0000 5.2286 5.2286 5.2286 0.0000 5.2286 5.2286 5.2286 0.0000" Properties=species:S:1:pos:R:3 pbc="T T T"
Sc 0.0000 0.0000 0.0000
Sc 2.6143 2.6143 0.0000
Sc 2.6143 0.0000 2.6143
Sc 0.0000 2.6143 2.6143
Tl 5.2286 2.6143 2.6143
Tl 2.6143 5.2286 2.6143
Tl 2.6143 2.6143 5.2286
Tl 5.2286 5.2286 5.2286
O 3.9214 3.9214 1.0932
O 3.9214 1.0932 3.9214
O 6.7497 3.9214 3.9214
O 6.5357 6.5357 3.7075
O 6.5357 3.7075 6.5357
O 9.3640 6.5357 6.5357
O 1.0932 3.9214 3.9214
O 3.9214 6.7497 3.9214
O 3.9214 3.9214 6.7497
O 3.7075 6.5357 6.5357
O 6.5357 9.3640 6.5357
O 6.5357 6.5357 9.3640
```

- Space-group type: Fd-3m
- Crystal system: cubic
- M_tot: 0.0000 μB/atom
- Energy relative to the elements, uncorrected: -1.676 eV per atom

---

# 11
A plane-wave DFT calculation with PBE-GGA was carried out for an optimized crystal structure of Tm4SeS2.

Structure (extended XYZ):
```
7
Lattice="1.9117 1.1037 12.6652 -1.9117 1.1037 12.6652 0.0000 -2.2074 12.6652" Properties=species:S:1:pos:R:3 pbc="T T T"
Tm 0.0000 0.0000 4.9333
Tm 0.0000 0.0000 10.8222
Tm 0.0000 0.0000 27.1735
Tm 0.0000 0.0000 33.0624
Se 0.0000 0.0000 0.0000
S 0.0000 0.0000 16.0021
S 0.0000 0.0000 21.9935
```

- Space-group type: R-3m
- Crystal system: trigonal
- M_tot: 0.0000 μB/atom
- Energy relative to the elements, uncorrected: -1.588 eV per atom

---

# 12
A plane-wave DFT calculation with PBE-GGA was carried out for an optimized crystal structure of LaGaSiNi6.

Structure (extended XYZ):
```
18
Lattice="-2.5908 3.7932 6.6422 2.5908 -3.7932 6.6422 2.5908 3.7932 -6.6422" Properties=species:S:1:pos:R:3 pbc="T T T"
La 0.0000 1.8966 0.0036
La 2.5908 1.8966 6.6386
Ga 2.5908 0.0000 0.0000
Ga 0.0000 0.0000 6.6422
Si -1.2954 1.8966 3.3211
Si 1.2954 1.8966 3.3211
Ni 2.5908 -1.8966 3.3668
Ni 1.2786 -0.1375 2.1079
Ni 3.9030 -0.1375 2.1079
Ni 1.2786 3.6558 -2.1079
Ni 1.3122 -0.1375 4.5343
Ni 2.5908 1.8966 1.4751
Ni 0.0000 1.8966 5.1671
Ni 1.2786 3.9307 2.1079
Ni 1.3122 0.1375 8.7501
Ni -1.3122 3.9307 4.5343
Ni 1.3122 3.9307 4.5343
Ni 0.0000 5.6898 3.2754
```

- Space-group type: Imma
- Crystal system: orthorhombic
- M_tot: 0.0000 μB/atom
- Energy relative to the elements, uncorrected: -0.275 eV per atom

---

# 13
A plane-wave DFT calculation with PBE-GGA was carried out for an optimized crystal structure of Er2MgV.

Structure (extended XYZ):
```
4
Lattice="0.0000 3.6474 3.6474 3.6474 0.0000 3.6474 3.6474 3.6474 0.0000" Properties=species:S:1:pos:R:3 pbc="T T T"
Er 1.8237 1.8237 1.8237
Er 5.4711 5.4711 5.4711
Mg 0.0000 0.0000 0.0000
V 3.6474 3.6474 3.6474
```

- Polymorph energy (0 for the lowest one): 0.126 eV/f.u.
- Space-group type: Fm-3m
- Crystal system: cubic
- M_tot: 0.8242 μB/atom
- ΔH_f (0 K): 143 meV per atom

---

# 14
A plane-wave DFT calculation with PBE-GGA was carried out for an optimized crystal structure of Nd4SnB3Rh12.

Structure (extended XYZ):
```
20
Lattice="-4.4075 4.4075 4.4075 4.4075 -4.4075 4.4075 4.4075 4.4075 -4.4075" Properties=species:S:1:pos:R:3 pbc="T T T"
Nd 2.2038 2.2038 -2.2038
Nd 2.2038 -2.2038 2.2038
Nd -2.2038 2.2038 2.2038
Nd 2.2038 2.2038 2.2038
Sn 0.0000 0.0000 0.0000
B 4.4075 0.0000 0.0000
B 0.0000 4.4075 0.0000
B 0.0000 0.0000 4.4075
Rh 2.4673 0.0000 0.0000
Rh 6.3477 0.0000 0.0000
Rh 4.4075 2.2038 0.0000
Rh 4.4075 0.0000 2.2038
Rh 0.0000 2.4673 0.0000
Rh 0.0000 0.0000 2.4673
Rh 2.2038 4.4075 0.0000
Rh 2.2038 0.0000 4.4075
Rh 0.0000 6.3477 0.0000
Rh 0.0000 0.0000 6.3477
Rh 0.0000 4.4075 2.2038
Rh 0.0000 2.2038 4.4075
```

- Space-group type: Im-3m
- Crystal system: cubic
- M_tot: 0.0001 μB/atom
- ΔH_f (0 K): -539 meV per atom

---

# 15
A plane-wave DFT calculation with PBE-GGA was carried out for an optimized crystal structure of KZr2Tl.

Structure (extended XYZ):
```
4
Lattice="4.6752 0.0000 0.0000 0.0000 4.6752 0.0000 0.0000 0.0000 4.7013" Properties=species:S:1:pos:R:3 pbc="T T T"
K 0.0000 0.0000 0.0000
Zr 0.0000 2.3376 2.3506
Zr 2.3376 0.0000 2.3506
Tl 2.3376 2.3376 0.0000
```

- Polymorph energy (0 for the lowest one): 1.949 eV/f.u.
- Space-group type: P4/mmm
- Crystal system: tetragonal
- M_tot: 0.0000 μB/atom
- ΔH_f (0 K): 648 meV per atom

---

# 16
A plane-wave DFT calculation with PBE-GGA was carried out for an optimized crystal structure of SrYP2.

Structure (extended XYZ):
```
4
Lattice="0.0000 3.5890 3.5890 3.5890 0.0000 3.5890 3.5890 3.5890 0.0000" Properties=species:S:1:pos:R:3 pbc="T T T"
Sr 0.0000 0.0000 0.0000
Y 3.5890 3.5890 3.5890
P 1.7945 1.7945 1.7945
P 5.3835 5.3835 5.3835
```

- Polymorph energy (0 for the lowest one): 1.260 eV/f.u.
- Space-group type: Fm-3m
- Crystal system: cubic
- M_tot: 0.0000 μB/atom
- ΔH_f (0 K): -846 meV per atom

---

# 17
A plane-wave DFT calculation with PBE-GGA was carried out for an optimized crystal structure of Mg4TlHg.

Structure (extended XYZ):
```
6
Lattice="0.0000 4.1778 4.1778 4.1778 0.0000 4.1778 4.1778 4.1778 0.0000" Properties=species:S:1:pos:R:3 pbc="T T T"
Mg 1.0453 1.0453 1.0453
Mg 3.1324 3.1324 1.0453
Mg 3.1324 1.0453 3.1324
Mg 1.0453 3.1324 3.1324
Tl 6.2667 6.2667 6.2667
Hg 4.1778 4.1778 4.1778
```

- Polymorph energy (0 for the lowest one): 0.758 eV/f.u.
- Space-group type: F-43m
- Crystal system: cubic
- M_tot: 0.0000 μB/atom
- ΔH_f (0 K): 40 meV per atom

---

# 18
A plane-wave DFT calculation with PBE-GGA was carried out for an optimized crystal structure of NpPbC.

Structure (extended XYZ):
```
6
Lattice="1.6213 -10.0887 0.0000 1.6213 10.0887 0.0000 0.0000 0.0000 3.7160" Properties=species:S:1:pos:R:3 pbc="T T T"
Np 1.6213 9.3250 2.7870
Np 1.6213 -9.3250 0.9290
Pb 1.6213 3.7864 0.9290
Pb 1.6213 -3.7864 2.7870
C 1.6213 1.1730 2.7870
C 1.6213 -1.1730 0.9290
```

- Space-group type: Cmcm
- Crystal system: orthorhombic
- M_tot: 0.0000 μB/atom
- ΔH_f (0 K): 544 meV per atom

---

# 19
A plane-wave DFT calculation with PBE-GGA was carried out for an optimized crystal structure of Rb2MgScF6.

Structure (extended XYZ):
```
10
Lattice="-3.0391 3.0391 4.1734 3.0391 -3.0391 4.1734 3.0391 3.0391 -4.1734" Properties=species:S:1:pos:R:3 pbc="T T T"
Rb 3.0391 0.0000 2.0867
Rb 0.0000 3.0391 2.0867
Mg 0.0000 0.0000 0.0000
Sc 0.0000 0.0000 4.1734
F 1.4398 1.4398 0.0000
F 1.5993 -1.5993 4.1734
F 0.0000 0.0000 2.0635
F 0.0000 0.0000 6.2832
F -1.5993 1.5993 4.1734
F 1.5993 1.5993 4.1734
```

- Space-group type: I4/mmm
- Crystal system: tetragonal
- M_tot: 0.0978 μB/atom
- Energy relative to the elements, uncorrected: -3.157 eV per atom

---

# 20
A plane-wave DFT calculation with PBE-GGA was carried out for an optimized crystal structure of Th6Tc2Hg3C.

Structure (extended XYZ):
```
12
Lattice="3.4436 -6.0152 0.0000 3.4436 6.0152 0.0000 -2.3508 0.0000 7.9538" Properties=species:S:1:pos:R:3 pbc="T T T"
Th 1.0810 1.9006 1.5124
Th -0.1694 0.0000 6.4675
Th 1.0810 -1.9006 1.5124
Th 3.4555 1.9006 6.4414
Th 4.7058 0.0000 1.4864
Th 3.4555 -1.9006 6.4414
Tc 3.4436 2.0108 0.0000
Tc 3.4436 -2.0108 0.0000
Hg 2.2682 3.9938 3.9769
Hg 2.2682 0.0000 3.9769
Hg 2.2682 -3.9938 3.9769
C 0.0000 0.0000 0.0000
```

- Space-group type: C2/m
- Crystal system: monoclinic
- M_tot: 0.0000 μB/atom
- ΔH_f (0 K): -197 meV per atom

---

# 21
A plane-wave DFT calculation with PBE-GGA was carried out for an optimized crystal structure of NaTmSO4.

Structure (extended XYZ):
```
14
Lattice="-3.2956 3.6049 4.3235 3.2956 -3.6049 4.3235 3.2956 3.6049 -4.3235" Properties=species:S:1:pos:R:3 pbc="T T T"
Na 0.0000 0.0000 0.0000
Na 0.0000 3.6049 0.0000
Tm -1.6478 1.8024 2.1618
Tm 1.6478 1.8024 2.1618
S 3.2956 1.8024 -1.1613
S 0.0000 1.8024 5.4849
O 2.0652 1.8024 -0.2799
O 4.5261 1.8024 -0.2799
O 0.0000 0.3807 2.1391
O 3.2956 0.3807 2.1844
O 0.0000 3.2242 2.1391
O 3.2956 3.2242 2.1844
O -1.2304 1.8024 4.6035
O 1.2304 1.8024 4.6035
```

- Space-group type: Imma
- Crystal system: orthorhombic
- M_tot: 0.0000 μB/atom
- Energy relative to the elements, uncorrected: -1.911 eV per atom

---

# 22
A plane-wave DFT calculation with PBE-GGA was carried out for an optimized crystal structure of TbTh3Tl4.

Structure (extended XYZ):
```
8
Lattice="3.5672 0.0000 0.0000 0.0000 3.5672 0.0000 0.0000 0.0000 18.1001" Properties=species:S:1:pos:R:3 pbc="T T T"
Tb 0.0000 0.0000 0.0000
Th 0.0000 0.0000 4.4449
Th 0.0000 0.0000 9.0501
Th 0.0000 0.0000 13.6552
Tl 1.7836 1.7836 2.1435
Tl 1.7836 1.7836 6.7463
Tl 1.7836 1.7836 11.3538
Tl 1.7836 1.7836 15.9567
```

- Polymorph energy (0 for the lowest one): 0.000 eV/f.u.
- Space-group type: P4/mmm
- Crystal system: tetragonal
- M_tot: 0.0000 μB/atom
- ΔH_f (0 K): -196 meV per atom

---

# 23
A plane-wave DFT calculation with PBE-GGA was carried out for an optimized crystal structure of PmPr4Dy2Tm.

Structure (extended XYZ):
```
8
Lattice="5.1552 0.0000 0.0000 0.0000 5.1865 0.0000 0.0000 0.0000 10.1467" Properties=species:S:1:pos:R:3 pbc="T T T"
Pm 0.0000 0.0000 0.0000
Pr 0.0000 2.5932 2.5619
Pr 0.0000 2.5932 7.5848
Pr 2.5776 0.0000 2.5649
Pr 2.5776 0.0000 7.5817
Dy 0.0000 0.0000 5.0733
Dy 2.5776 2.5932 0.0000
Tm 2.5776 2.5932 5.0733
```

- Space-group type: Pmmm
- Crystal system: orthorhombic
- M_tot: 0.0000 μB/atom
- ΔH_f (0 K): 15 meV per atom

---

# 24
A plane-wave DFT calculation with PBE-GGA was carried out for an optimized crystal structure of CePmNi.

Structure (extended XYZ):
```
3
Lattice="4.4022 0.0000 0.0000 -2.2011 3.8124 0.0000 0.0000 0.0000 4.4406" Properties=species:S:1:pos:R:3 pbc="T T T"
Ce 0.0000 0.0000 0.0000
Pm 0.0000 2.5416 2.2203
Ni 2.2011 1.2708 0.0000
```

- Polymorph energy (0 for the lowest one): 0.437 eV/f.u.
- Space-group type: P-6m2
- Crystal system: hexagonal
- M_tot: 0.0000 μB/atom
- ΔH_f (0 K): 4 meV per atom